Record 1
A plane-wave DFT calculation with PBE was carried out for a geometry-optimized KTb2O4 structure.

Calculated total energy in Ry per atom: -0.514
Magnetization in μB/cell: 2.00
Space-group type: No. 227
Volume in A^3/atom: 17.80

Lattice parameters (Å, degrees): 7.063 7.063 7.063 119.99 90.01 119.99
Atoms (fractional coordinates):
Tb (0.375, 0.750, 0.125)
O (0.603, 0.795, 0.397)
Tb (0.875, 0.250, 0.625)
O (0.558, 0.705, 0.853)
Tb (0.375, 0.750, 0.625)
O (0.603, 0.205, 0.808)
K (0.000, 0.000, 0.000)
K (0.750, 0.500, 0.250)
O (0.147, 0.705, 0.853)
O (0.147, 0.295, 0.853)
O (0.147, 0.295, 0.442)
Tb (0.375, 0.250, 0.625)
O (0.192, 0.795, 0.397)
O (0.603, 0.205, 0.397)



Record 2
A plane-wave DFT calculation with PBE was carried out for a geometry-optimized KTbO3 structure.

Calculated total energy in Ry per atom: -0.439
Magnetization in μB/cell: 7.97
Space-group type: No. 62
Volume in A^3/atom: 17.32

Lattice parameters (Å, degrees): 6.218 6.296 8.849 90.00 90.00 90.00
Atoms (fractional coordinates):
O (0.770, 0.769, 0.481)
O (0.465, 0.983, 0.250)
Tb (0.500, 0.000, 0.000)
O (0.230, 0.231, 0.519)
O (0.535, 0.017, 0.750)
O (0.965, 0.517, 0.750)
O (0.230, 0.231, 0.981)
Tb (0.500, 0.000, 0.500)
O (0.770, 0.769, 0.019)
K (0.503, 0.511, 0.250)
K (0.003, 0.989, 0.750)
O (0.035, 0.483, 0.250)
Tb (0.000, 0.500, 0.000)
O (0.270, 0.731, 0.981)
O (0.270, 0.731, 0.519)
Tb (0.000, 0.500, 0.500)
O (0.730, 0.269, 0.019)
K (0.997, 0.011, 0.250)
O (0.730, 0.269, 0.481)
K (0.497, 0.489, 0.750)



Record 3
A plane-wave DFT calculation with PBE was carried out for a geometry-optimized KTbZnO3 structure.

Calculated total energy in Ry per atom: -0.430
Magnetization in μB/cell: 0.01
Space-group type: No. 63
Volume in A^3/atom: 15.77

Lattice parameters (Å, degrees): 6.215 6.215 9.072 90.00 90.00 32.70
Atoms (fractional coordinates):
O (0.960, 0.960, 0.750)
O (0.618, 0.618, 0.556)
O (0.040, 0.040, 0.250)
Zn (0.558, 0.558, 0.750)
K (0.280, 0.280, 0.750)
O (0.382, 0.382, 0.056)
O (0.618, 0.618, 0.944)
K (0.720, 0.720, 0.250)
Zn (0.442, 0.442, 0.250)
Tb (0.000, 0.000, 0.000)
O (0.382, 0.382, 0.444)
Tb (0.000, 0.000, 0.500)



Q: Which of these has the lowest calculated total energy?
A: KTb2O4



Q: calculated total energy of number 1 (KTb2O4)?
A: -0.514 Ry per atom



What did the third record say?
A plane-wave DFT calculation with PBE was carried out for a geometry-optimized KTbZnO3 structure.

Calculated total energy in Ry per atom: -0.430
Magnetization in μB/cell: 0.01
Space-group type: No. 63
Volume in A^3/atom: 15.77

Lattice parameters (Å, degrees): 6.215 6.215 9.072 90.00 90.00 32.70
Atoms (fractional coordinates):
O (0.960, 0.960, 0.750)
O (0.618, 0.618, 0.556)
O (0.040, 0.040, 0.250)
Zn (0.558, 0.558, 0.750)
K (0.280, 0.280, 0.750)
O (0.382, 0.382, 0.056)
O (0.618, 0.618, 0.944)
K (0.720, 0.720, 0.250)
Zn (0.442, 0.442, 0.250)
Tb (0.000, 0.000, 0.000)
O (0.382, 0.382, 0.444)
Tb (0.000, 0.000, 0.500)